Record 1
The following is a DFT calculation (PBE) of crystalline Tl2IrO2 at its relaxed geometry.

a = 5.754 Å, b = 5.754 Å, c = 8.418 Å
α = 90.00°, β = 90.00°, γ = 90.00°
Space group I4/mmm (No. 139)
Asymmetric unit:
Tl 0.000 0.500 0.250 [4 per cell]
Ir 0.000 0.000 0.000 [2 per cell]
O 0.000 0.000 0.215 [4 per cell]

As for the raw formation energy: -0.242 eV/atom. For the relative energy among the computed polymorphs, the calculation gives 0 kJ/mol of formula units. Its crystal system is tetragonal. The value obtained for the total energy is -49.44 eV per cell. The density of states at the Fermi level comes out at 1.15 states/eV/atom.

Record 2
The following is a DFT calculation (PBE) of crystalline KZrBi2F at its relaxed geometry.

a = 5.805 Å, b = 5.805 Å, c = 5.045 Å
α = 90.00°, β = 90.00°, γ = 90.00°
Space group P4/mmm (No. 123)
Asymmetric unit:
K 0.000 0.000 0.000 [1 per cell]
Zr 0.000 0.000 0.500 [1 per cell]
Bi 0.000 0.500 0.000 [2 per cell]
F 0.500 0.500 0.500 [1 per cell]

As for the raw formation energy: 1.192 eV/atom. Its crystal system is tetragonal. The value obtained for the total energy is -13.32 eV per cell. The density of states at the Fermi level comes out at 0.88 states/eV/atom.

Record 3
The following is a DFT calculation (PBE) of crystalline Te2AsH at its relaxed geometry.

a = 4.2430 Å, b = 4.2430 Å, c = 21.3643 Å
α = 90.00°, β = 90.00°, γ = 120.00°
Space group R-3m (No. 166, hexagonal axes)
Asymmetric unit:
Te 0.0000 0.0000 0.0921 [6 per cell]
As 0.0000 0.0000 0.5000 [3 per cell]
H 0.0000 0.0000 0.0000 [3 per cell]

For the relative energy among the computed polymorphs, the calculation gives 32 kJ/mol of formula units. Its crystal system is trigonal. The value obtained for the total energy is -40.66 eV per cell. The density of states at the Fermi level comes out at 0.00 states/eV/atom.

Record 4
The following is a DFT calculation (PBE) of crystalline AlFe2As at its relaxed geometry.

a = 3.151 Å, b = 3.940 Å, c = 8.312 Å
α = 90.00°, β = 90.00°, γ = 90.00°
Space group Imm2 (No. 44)
Asymmetric unit:
Al 0.000 0.000 0.000 [2 per cell]
Fe 0.000 0.000 0.500 [2 per cell]
Fe 0.000 0.500 0.760 [2 per cell]
As 0.000 0.500 0.228 [2 per cell]

For the relative energy among the computed polymorphs, the calculation gives 39 kJ/mol of formula units. Its crystal system is orthorhombic. The value obtained for the formation enthalpy at 0 K is -0.058 eV per atom. The value obtained for the total energy is -51.10 eV per cell. The density of states at the Fermi level comes out at 0.71 states/eV/atom.

Record 5
The following is a DFT calculation (PBE) of crystalline PaFe5P2 at its relaxed geometry.

a = 3.601 Å, b = 6.430 Å, c = 8.811 Å
α = 90.00°, β = 90.00°, γ = 90.00°
Space group Immm (No. 71)
Asymmetric unit:
Pa 0.000 0.000 0.000 [2 per cell]
Fe 0.000 0.191 0.356 [8 per cell]
Fe 0.000 0.500 0.000 [2 per cell]
P 0.000 0.500 0.244 [4 per cell]

Its crystal system is orthorhombic. The value obtained for the formation enthalpy at 0 K is -0.527 eV per atom. The value obtained for the total energy is -133.70 eV per cell. The density of states at the Fermi level comes out at 1.22 states/eV/atom.

Record 6
The following is a DFT calculation (PBE) of crystalline Tm2ScGe2 at its relaxed geometry.

a = 7.281 Å, b = 7.281 Å, c = 4.192 Å
α = 90.00°, β = 90.00°, γ = 90.00°
Space group P4/mbm (No. 127)
Asymmetric unit:
Tm 0.173 0.327 0.000 [4 per cell]
Sc 0.000 0.000 0.500 [2 per cell]
Ge 0.130 0.630 0.500 [4 per cell]

Its crystal system is tetragonal. The value obtained for the formation enthalpy at 0 K is -0.813 eV per atom. The value obtained for the total energy is -57.15 eV per cell. The density of states at the Fermi level comes out at 0.73 states/eV/atom.

Record 7
The following is a DFT calculation (PBE) of crystalline LaHgP2 at its relaxed geometry.

a = 4.3433 Å, b = 4.3433 Å, c = 17.3602 Å
α = 90.00°, β = 90.00°, γ = 120.00°
Space group R-3m (No. 166, hexagonal axes)
Asymmetric unit:
La 0.0000 0.0000 0.0000 [3 per cell]
Hg 0.0000 0.0000 0.5000 [3 per cell]
P 0.0000 0.0000 0.2452 [6 per cell]

Its crystal system is trigonal. The value obtained for the formation enthalpy at 0 K is -0.392 eV per atom. The value obtained for the total energy is -52.85 eV per cell. The density of states at the Fermi level comes out at 1.06 states/eV/atom.

Record 8
The following is a DFT calculation (PBE) of crystalline CuMo4Br at its relaxed geometry.

a = 7.470 Å, b = 7.470 Å, c = 7.470 Å
α = 90.00°, β = 90.00°, γ = 90.00°
Space group F-43m (No. 216)
Asymmetric unit:
Cu 0.000 0.000 0.000 [4 per cell]
Mo 0.126 0.126 0.626 [16 per cell]
Br 0.250 0.250 0.250 [4 per cell]

As for the raw formation energy: 0.951 eV/atom. Its crystal system is cubic. The value obtained for the total energy is -173.56 eV per cell. The density of states at the Fermi level comes out at 0.97 states/eV/atom.

Question: What is the density of states at the Fermi level in the fifth record?
Answer: 1.22 states/eV/atom